No. 1
KDyTlHg: relaxed, PBE.

Geometry as CIF:
```
data_KDyTlHg
_cell_length_a 5.518
_cell_length_b 5.518
_cell_length_c 5.518
_cell_angle_alpha 60.00
_cell_angle_beta 60.00
_cell_angle_gamma 60.00
_symmetry_space_group_name_H-M 'P 1'
_symmetry_Int_Tables_number 1
loop_
_symmetry_equiv_pos_as_xyz
'x,y,z'
loop_
_atom_site_label
_atom_site_type_symbol
_atom_site_fract_x
_atom_site_fract_y
_atom_site_fract_z
K1 K 0.000 0.000 0.000
Dy1 Dy 0.500 0.500 0.500
Tl1 Tl 0.750 0.750 0.750
Hg1 Hg 0.250 0.250 0.250
```

Formation enthalpy at 0 K (eV/atom): -0.1020
Calculated total energy (eV per atom): -2.19
SG: F-43m, No. 216

=====

No. 2
LaDyHg4: relaxed, PBE.

Geometry as CIF:
```
data_LaDyHg4
_cell_length_a 4.564
_cell_length_b 8.758
_cell_length_c 4.593
_cell_angle_alpha 90.00
_cell_angle_beta 90.00
_cell_angle_gamma 90.00
_symmetry_space_group_name_H-M 'P 1'
_symmetry_Int_Tables_number 1
loop_
_symmetry_equiv_pos_as_xyz
'x,y,z'
loop_
_atom_site_label
_atom_site_type_symbol
_atom_site_fract_x
_atom_site_fract_y
_atom_site_fract_z
La1 La 0.000 0.000 0.000
Dy1 Dy 0.500 0.500 0.499
Hg1 Hg 0.000 0.264 0.500
Hg2 Hg 0.000 0.736 0.500
Hg3 Hg 0.500 0.265 0.999
Hg4 Hg 0.500 0.735 0.999
```

Formation enthalpy at 0 K (eV/atom): -0.2035
Calculated total energy (eV per atom): -1.99
Polymorph energy (0 for the lowest one) (meV per atom): 176
SG: Pmm2, No. 25

=====

No. 3
La4DyHg: relaxed, PBE.

Geometry as CIF:
```
data_La4DyHg
_cell_length_a 3.768
_cell_length_b 3.768
_cell_length_c 14.160
_cell_angle_alpha 90.00
_cell_angle_beta 90.00
_cell_angle_gamma 90.00
_symmetry_space_group_name_H-M 'P 1'
_symmetry_Int_Tables_number 1
loop_
_symmetry_equiv_pos_as_xyz
'x,y,z'
loop_
_atom_site_label
_atom_site_type_symbol
_atom_site_fract_x
_atom_site_fract_y
_atom_site_fract_z
La1 La 0.000 0.000 0.146
La2 La 0.000 0.000 0.854
La3 La 0.500 0.500 0.326
La4 La 0.500 0.500 0.674
Dy1 Dy 0.000 0.000 0.500
Hg1 Hg 0.500 0.500 0.000
```

Formation enthalpy at 0 K (eV/atom): -0.1545
Calculated total energy (eV per atom): -4.26
Polymorph energy (0 for the lowest one) (meV per atom): 0
SG: P4/mmm, No. 123

=====

No. 4
La5Dy4Hg: relaxed, PBE.

Geometry as CIF:
```
data_La5Dy4Hg
_cell_length_a 3.742
_cell_length_b 3.742
_cell_length_c 23.925
_cell_angle_alpha 90.00
_cell_angle_beta 90.00
_cell_angle_gamma 90.00
_symmetry_space_group_name_H-M 'P 1'
_symmetry_Int_Tables_number 1
loop_
_symmetry_equiv_pos_as_xyz
'x,y,z'
loop_
_atom_site_label
_atom_site_type_symbol
_atom_site_fract_x
_atom_site_fract_y
_atom_site_fract_z
La1 La 0.000 0.000 0.000
La2 La 0.000 0.000 0.205
La3 La 0.000 0.000 0.413
La4 La 0.000 0.000 0.587
La5 La 0.000 0.000 0.795
Dy1 Dy 0.500 0.500 0.102
Dy2 Dy 0.500 0.500 0.307
Dy3 Dy 0.500 0.500 0.693
Dy4 Dy 0.500 0.500 0.898
Hg1 Hg 0.500 0.500 0.500
```

Formation enthalpy at 0 K (eV/atom): -0.0718
Calculated total energy (eV per atom): -4.41
SG: P4/mmm, No. 123

=====

No. 5
LaDyHg2: relaxed, PBE.

Geometry as CIF:
```
data_LaDyHg2
_cell_length_a 9.492
_cell_length_b 9.492
_cell_length_c 9.492
_cell_angle_alpha 23.66
_cell_angle_beta 23.66
_cell_angle_gamma 23.66
_symmetry_space_group_name_H-M 'P 1'
_symmetry_Int_Tables_number 1
loop_
_symmetry_equiv_pos_as_xyz
'x,y,z'
loop_
_atom_site_label
_atom_site_type_symbol
_atom_site_fract_x
_atom_site_fract_y
_atom_site_fract_z
La1 La 0.000 0.000 0.000
Dy1 Dy 0.167 0.167 0.167
Hg1 Hg 0.421 0.421 0.421
Hg2 Hg 0.579 0.579 0.579
```

Formation enthalpy at 0 K (eV/atom): -0.3214
Calculated total energy (eV per atom): -2.85
SG: R3m, No. 160

=====

No. 6
La3DyHg2: relaxed, PBE.

Geometry as CIF:
```
data_La3DyHg2
_cell_length_a 9.277
_cell_length_b 9.277
_cell_length_c 9.277
_cell_angle_alpha 132.10
_cell_angle_beta 70.63
_cell_angle_gamma 131.39
_symmetry_space_group_name_H-M 'P 1'
_symmetry_Int_Tables_number 1
loop_
_symmetry_equiv_pos_as_xyz
'x,y,z'
loop_
_atom_site_label
_atom_site_type_symbol
_atom_site_fract_x
_atom_site_fract_y
_atom_site_fract_z
La1 La 0.022 0.750 0.272
La2 La 0.250 0.250 0.000
La3 La 0.478 0.750 0.728
La4 La 0.522 0.250 0.272
La5 La 0.750 0.750 0.000
La6 La 0.978 0.250 0.728
Dy1 Dy 0.000 0.500 0.500
Dy2 Dy 0.500 0.000 0.500
Hg1 Hg 0.135 0.209 0.344
Hg2 Hg 0.365 0.709 0.074
Hg3 Hg 0.635 0.291 0.926
Hg4 Hg 0.865 0.791 0.656
```

Formation enthalpy at 0 K (eV/atom): -0.0922
Calculated total energy (eV per atom): -3.42
Polymorph energy (0 for the lowest one) (meV per atom): 245
SG: Ibam, No. 72

=====

No. 7
LaDyHg3: relaxed, PBE.

Geometry as CIF:
```
data_LaDyHg3
_cell_length_a 14.844
_cell_length_b 14.844
_cell_length_c 5.007
_cell_angle_alpha 90.00
_cell_angle_beta 90.00
_cell_angle_gamma 165.93
_symmetry_space_group_name_H-M 'P 1'
_symmetry_Int_Tables_number 1
loop_
_symmetry_equiv_pos_as_xyz
'x,y,z'
loop_
_atom_site_label
_atom_site_type_symbol
_atom_site_fract_x
_atom_site_fract_y
_atom_site_fract_z
La1 La 0.076 0.924 0.750
La2 La 0.924 0.076 0.250
Dy1 Dy 0.210 0.790 0.250
Dy2 Dy 0.790 0.210 0.750
Hg1 Hg 0.316 0.684 0.250
Hg2 Hg 0.376 0.624 0.750
Hg3 Hg 0.475 0.525 0.750
Hg4 Hg 0.525 0.475 0.250
Hg5 Hg 0.624 0.376 0.250
Hg6 Hg 0.684 0.316 0.750
```

Formation enthalpy at 0 K (eV/atom): -0.4617
Calculated total energy (eV per atom): -2.55
SG: Cmcm, No. 63

=====

No. 8
La8DyHg2: relaxed, PBE.

Geometry as CIF:
```
data_La8DyHg2
_cell_length_a 9.073
_cell_length_b 9.073
_cell_length_c 8.616
_cell_angle_alpha 113.42
_cell_angle_beta 113.42
_cell_angle_gamma 35.25
_symmetry_space_group_name_H-M 'P 1'
_symmetry_Int_Tables_number 1
loop_
_symmetry_equiv_pos_as_xyz
'x,y,z'
loop_
_atom_site_label
_atom_site_type_symbol
_atom_site_fract_x
_atom_site_fract_y
_atom_site_fract_z
La1 La 0.049 0.049 0.243
La2 La 0.149 0.149 0.706
La3 La 0.311 0.311 0.542
La4 La 0.395 0.395 0.031
La5 La 0.605 0.605 0.969
La6 La 0.689 0.689 0.458
La7 La 0.851 0.851 0.294
La8 La 0.951 0.951 0.757
Dy1 Dy 0.500 0.500 0.500
Hg1 Hg 0.216 0.216 0.133
Hg2 Hg 0.784 0.784 0.867
```

Formation enthalpy at 0 K (eV/atom): -0.1452
Calculated total energy (eV per atom): -4.20
SG: C2/m, No. 12

=====

No. 9
La4DyHg3: relaxed, PBE.

Geometry as CIF:
```
data_La4DyHg3
_cell_length_a 3.816
_cell_length_b 5.632
_cell_length_c 11.460
_cell_angle_alpha 90.00
_cell_angle_beta 90.00
_cell_angle_gamma 90.00
_symmetry_space_group_name_H-M 'P 1'
_symmetry_Int_Tables_number 1
loop_
_symmetry_equiv_pos_as_xyz
'x,y,z'
loop_
_atom_site_label
_atom_site_type_symbol
_atom_site_fract_x
_atom_site_fract_y
_atom_site_fract_z
La1 La 0.000 0.000 0.000
La2 La 0.000 0.000 0.500
La3 La 0.000 0.500 0.237
La4 La 0.000 0.500 0.763
Dy1 Dy 0.500 0.500 0.500
Hg1 Hg 0.500 0.000 0.261
Hg2 Hg 0.500 0.000 0.739
Hg3 Hg 0.500 0.500 0.000
```

Formation enthalpy at 0 K (eV/atom): -0.3286
Calculated total energy (eV per atom): -3.48
SG: Pmmm, No. 47

=====

No. 10
LaDyHg2: relaxed, PBE.

Geometry as CIF:
```
data_LaDyHg2
_cell_length_a 3.759
_cell_length_b 3.759
_cell_length_c 7.847
_cell_angle_alpha 90.00
_cell_angle_beta 90.00
_cell_angle_gamma 90.00
_symmetry_space_group_name_H-M 'P 1'
_symmetry_Int_Tables_number 1
loop_
_symmetry_equiv_pos_as_xyz
'x,y,z'
loop_
_atom_site_label
_atom_site_type_symbol
_atom_site_fract_x
_atom_site_fract_y
_atom_site_fract_z
La1 La 0.000 0.000 0.000
Dy1 Dy 0.000 0.000 0.500
Hg1 Hg 0.500 0.500 0.275
Hg2 Hg 0.500 0.500 0.725
```

Formation enthalpy at 0 K (eV/atom): -0.4902
Calculated total energy (eV per atom): -3.02
SG: P4/mmm, No. 123

=====

No. 11
La2Dy3Hg4: relaxed, PBE.

Geometry as CIF:
```
data_La2Dy3Hg4
_cell_length_a 9.594
_cell_length_b 9.594
_cell_length_c 8.329
_cell_angle_alpha 90.00
_cell_angle_beta 90.00
_cell_angle_gamma 136.57
_symmetry_space_group_name_H-M 'P 1'
_symmetry_Int_Tables_number 1
loop_
_symmetry_equiv_pos_as_xyz
'x,y,z'
loop_
_atom_site_label
_atom_site_type_symbol
_atom_site_fract_x
_atom_site_fract_y
_atom_site_fract_z
La1 La 0.095 0.905 0.911
La2 La 0.405 0.595 0.411
La3 La 0.595 0.405 0.589
La4 La 0.905 0.095 0.089
Dy1 Dy 0.000 0.000 0.500
Dy2 Dy 0.012 0.488 0.750
Dy3 Dy 0.488 0.012 0.250
Dy4 Dy 0.500 0.500 0.000
Dy5 Dy 0.512 0.988 0.750
Dy6 Dy 0.988 0.512 0.250
Hg1 Hg 0.170 0.830 0.526
Hg2 Hg 0.186 0.314 0.750
Hg3 Hg 0.314 0.186 0.250
Hg4 Hg 0.330 0.670 0.026
Hg5 Hg 0.670 0.330 0.974
Hg6 Hg 0.686 0.814 0.750
Hg7 Hg 0.814 0.686 0.250
Hg8 Hg 0.830 0.170 0.474
```

Formation enthalpy at 0 K (eV/atom): -0.3657
Calculated total energy (eV per atom): -3.13
SG: Cmce, No. 64

=====

No. 12
La12DyHg6: relaxed, PBE.

Geometry as CIF:
```
data_La12DyHg6
_cell_length_a 8.381
_cell_length_b 8.381
_cell_length_c 8.381
_cell_angle_alpha 88.73
_cell_angle_beta 88.73
_cell_angle_gamma 88.73
_symmetry_space_group_name_H-M 'P 1'
_symmetry_Int_Tables_number 1
loop_
_symmetry_equiv_pos_as_xyz
'x,y,z'
loop_
_atom_site_label
_atom_site_type_symbol
_atom_site_fract_x
_atom_site_fract_y
_atom_site_fract_z
La1 La 0.037 0.929 0.317
La2 La 0.071 0.683 0.963
La3 La 0.105 0.444 0.345
La4 La 0.317 0.037 0.929
La5 La 0.345 0.105 0.444
La6 La 0.444 0.345 0.105
La7 La 0.556 0.655 0.895
La8 La 0.655 0.895 0.556
La9 La 0.683 0.963 0.071
La10 La 0.895 0.556 0.655
La11 La 0.929 0.317 0.037
La12 La 0.963 0.071 0.683
Dy1 Dy 0.500 0.500 0.500
Hg1 Hg 0.236 0.380 0.746
Hg2 Hg 0.254 0.764 0.620
Hg3 Hg 0.380 0.746 0.236
Hg4 Hg 0.620 0.254 0.764
Hg5 Hg 0.746 0.236 0.380
Hg6 Hg 0.764 0.620 0.254
```

Formation enthalpy at 0 K (eV/atom): -0.2368
Calculated total energy (eV per atom): -3.69
SG: R-3, No. 148